No. 1
Y3HgAs: optimized geometry, PBE-GGA.

The structure in POSCAR format:
```
Y3HgAs
1.0
-4.712 1.423 2.152
-1.727 -5.069 -0.428
1.917 -1.067 4.903
Y Hg As
3 1 1
Direct
0.500 0.000 0.000
0.000 0.500 0.000
0.000 0.000 0.500
0.500 0.500 0.500
0.000 0.000 0.000
```

Results
Energy of formation: -0.457 eV per atom
Energy relative to the lowest polymorph listed for this composition: 0 meV per atom
DOS at the Fermi energy: 7.47 states/eV per cell

***

No. 2
CoNi: optimized geometry, PBE-GGA.

The structure in POSCAR format:
```
CoNi
1.0
5.066 0.000 0.000
0.000 4.231 0.000
0.000 0.000 8.187
Co Ni
8 8
Direct
0.000 0.915 0.624
0.000 0.415 0.876
0.248 0.416 0.624
0.752 0.916 0.876
0.500 0.085 0.124
0.252 0.584 0.124
0.748 0.084 0.376
0.500 0.585 0.376
0.501 0.416 0.878
0.499 0.916 0.622
0.253 0.916 0.877
0.999 0.584 0.378
0.247 0.084 0.377
0.747 0.416 0.623
0.001 0.084 0.122
0.753 0.584 0.123
```

Results
Energy of formation: 0.034 eV per atom
DOS at the Fermi energy: 16.20 states/eV per cell

***

No. 3
SrZrRh2: optimized geometry, PBE-GGA.

The structure in POSCAR format:
```
SrZrRh2
1.0
-1.114 -5.182 -2.324
4.261 -3.406 -1.934
-1.365 3.099 4.693
Rh Sr Zr
2 1 1
Direct
0.250 0.750 0.500
0.000 0.000 0.000
0.500 0.500 0.000
0.750 0.250 0.500
```

Results
Energy of formation: -0.064 eV per atom
DOS at the Fermi energy: 2.89 states/eV per cell

***

No. 4
RbCd2IrPb: optimized geometry, PBE-GGA.

The structure in POSCAR format:
```
RbCd2IrPb
1.0
5.410 0.000 0.000
0.000 5.410 0.000
0.000 0.000 5.202
Pb Cd Ir Rb
1 2 1 1
Direct
0.000 0.000 0.500
0.500 0.000 0.000
0.000 0.500 0.000
0.000 0.000 0.000
0.500 0.500 0.500
```

Results
Energy of formation: -0.040 eV per atom
DOS at the Fermi energy: 1.50 states/eV per cell

***

No. 5
Rb3ZnIr: optimized geometry, PBE-GGA.

The structure in POSCAR format:
```
Rb3ZnIr
1.0
-4.300 -3.220 3.471
4.538 -1.467 4.262
-1.350 5.328 3.271
Zn Ir Rb
1 1 3
Direct
0.500 0.500 0.500
0.000 0.000 0.000
0.000 0.000 0.500
0.500 0.000 0.000
0.000 0.500 0.000
```

Results
Energy of formation: 0.767 eV per atom
Energy relative to the lowest polymorph listed for this composition: 0 meV per atom
DOS at the Fermi energy: 5.95 states/eV per cell

***

No. 6
AuSeS: optimized geometry, PBE-GGA.

The structure in POSCAR format:
```
AuSeS
1.0
1.843 8.323 -1.308
-1.843 8.323 -1.308
0.000 0.137 6.289
S Se Au
2 2 2
Direct
0.743 0.743 0.418
0.257 0.257 0.582
0.921 0.921 0.146
0.079 0.079 0.854
0.000 0.000 0.500
0.500 0.500 0.000
```

Results
Formation energy without anion corrections: 0.043 eV per atom

***

No. 7
PmPb3: optimized geometry, PBE-GGA.

The structure in POSCAR format:
```
PmPb3
1.0
-1.228 0.376 -3.396
-0.054 -5.801 -0.622
-4.719 2.557 3.931
Pb Pm
3 1
Direct
0.249 0.591 0.498
0.500 0.487 0.000
0.751 0.092 0.502
0.000 0.997 0.000
```

Results
Energy of formation: -0.275 eV per atom
DOS at the Fermi energy: 2.62 states/eV per cell

***

No. 8
Cd2HRh: optimized geometry, PBE-GGA.

The structure in POSCAR format:
```
Cd2HRh
1.0
3.135 0.000 0.000
1.568 2.715 0.001
1.568 0.859 6.976
Cd H Rh
2 1 1
Direct
0.910 0.668 0.512
0.695 0.462 0.147
0.136 0.899 0.829
0.469 0.232 0.829
```

Results
Energy relative to the lowest polymorph listed for this composition: 11 meV per atom
DOS at the Fermi energy: 1.48 states/eV per cell

***

No. 9
IrRuW: optimized geometry, PBE-GGA.

The structure in POSCAR format:
```
IrRuW
1.0
3.915 0.000 0.000
0.000 3.763 -0.980
0.000 -0.410 6.140
Ru W Ir
2 2 2
Direct
0.250 0.751 0.502
0.750 0.249 0.498
0.750 0.909 0.818
0.250 0.091 0.182
0.250 0.418 0.835
0.750 0.582 0.165
```

Results
Energy of formation: -0.143 eV per atom
Energy relative to the lowest polymorph listed for this composition: 21 meV per atom
DOS at the Fermi energy: 4.37 states/eV per cell

***

No. 10
Ir2RhSe: optimized geometry, PBE-GGA.

The structure in POSCAR format:
```
Ir2RhSe
1.0
2.789 -0.005 0.000
-1.443 2.386 0.000
0.000 0.000 9.330
Ir Se Rh
2 1 1
Direct
0.000 0.000 0.006
0.500 0.500 0.251
0.500 0.500 0.744
0.000 0.000 0.499
```

Results
DOS at the Fermi energy: 4.32 states/eV per cell
Formation energy without anion corrections: 0.437 eV per atom

***

No. 11
ZrAu2Br: optimized geometry, PBE-GGA.

The structure in POSCAR format:
```
ZrAu2Br
1.0
0.000 3.486 3.486
3.486 0.000 3.486
3.486 3.486 0.000
Au Br Zr
2 1 1
Direct
0.750 0.750 0.750
0.250 0.250 0.250
0.000 0.000 0.000
0.500 0.500 0.500
```

Results
Energy relative to the lowest polymorph listed for this composition: 497 meV per atom
DOS at the Fermi energy: 3.01 states/eV per cell
Formation energy without anion corrections: 0.042 eV per atom

***

No. 12
RbCrP: optimized geometry, PBE-GGA.

The structure in POSCAR format:
```
RbCrP
1.0
-2.247 1.869 -1.823
-3.593 -2.787 1.571
-1.259 6.712 8.987
Rb Cr P
2 2 2
Direct
0.362 0.254 0.178
0.410 0.756 0.758
0.386 0.505 0.468
0.386 0.005 0.468
0.896 0.255 0.575
0.877 0.755 0.360
```

Results
Energy of formation: 0.052 eV per atom
Energy relative to the lowest polymorph listed for this composition: 326 meV per atom
DOS at the Fermi energy: 3.25 states/eV per cell